{
  "formula": "HfAsO",
  "functional": "PBE",
  "state": "relaxed",
  "formation_energy_uncorrected_ev_per_atom": -1.692,
  "volume_a3_per_fu": 48.5,
  "final_energy_ev_per_atom": -8.21,
  "polymorph_energy_mev_per_atom": 28,
  "mass_density_g_cm3": 9.2,
  "lattice_angstrom": [[4.4211, 0.0000, 0.0000], [0.0000, 3.5608, 0.0000], [0.0000, -1.7804, 3.0838]],
  "species": ["As", "Hf", "O"],
  "frac_coords": [[0.6667, 0.6667, 0.3333], [0.1667, 0.0000, 0.0000], [0.1666, 0.3333, 0.6667]]
}



{
  "formula": "HfAsO2",
  "functional": "PBE",
  "state": "relaxed",
  "formation_energy_uncorrected_ev_per_atom": -0.987,
  "volume_a3_per_fu": 60.7,
  "final_energy_ev_per_atom": -7.12,
  "mass_density_g_cm3": 7.8,
  "lattice_angstrom": [[-5.5914, -2.7948, -1.4647], [-3.4755, -5.3431, -0.7696], [-4.9786, -3.6564, 1.7503]],
  "species": ["As", "Hf", "O", "O"],
  "frac_coords": [[0.5000, 0.5000, 0.5000], [0.0000, 0.0000, 0.0000], [0.8890, 0.8890, 0.8890], [0.1110, 0.1110, 0.1110]]
}



{
  "formula": "HfAs3O",
  "functional": "PBE",
  "state": "relaxed",
  "formation_energy_uncorrected_ev_per_atom": 0.747,
  "volume_a3_per_fu": 131.2,
  "final_energy_ev_per_atom": -5.02,
  "polymorph_energy_mev_per_atom": 925,
  "mass_density_g_cm3": 5.3,
  "lattice_angstrom": [[5.0811, 0.0000, 0.0000], [0.0000, 5.0811, 0.0000], [0.0000, 0.0000, 5.0811]],
  "species": ["As", "As", "As", "Hf", "O"],
  "frac_coords": [[0.0000, 0.5000, 0.0000], [0.0000, 0.0000, 0.5000], [0.5000, 0.0000, 0.0000], [0.0000, 0.0000, 0.0000], [0.5000, 0.5000, 0.5000]]
}



{
  "formula": "Hf3AsO",
  "functional": "PBE",
  "state": "relaxed",
  "formation_energy_uncorrected_ev_per_atom": -0.934,
  "volume_a3_per_fu": 84.2,
  "final_energy_ev_per_atom": -8.83,
  "polymorph_energy_mev_per_atom": 0,
  "mass_density_g_cm3": 12.4,
  "lattice_angstrom": [[4.3823, 0.0000, 0.0000], [0.0000, 4.3823, 0.0000], [0.0000, 0.0000, 4.3823]],
  "species": ["As", "Hf", "Hf", "Hf", "O"],
  "frac_coords": [[0.5000, 0.5000, 0.5000], [0.0000, 0.5000, 0.0000], [0.0000, 0.0000, 0.5000], [0.5000, 0.0000, 0.0000], [0.0000, 0.0000, 0.0000]]
}



{
  "formula": "HfAs2O6",
  "functional": "PBE",
  "state": "relaxed",
  "formation_energy_uncorrected_ev_per_atom": -1.688,
  "volume_a3_per_fu": 170.0,
  "final_energy_ev_per_atom": -7.13,
  "mass_density_g_cm3": 4.1,
  "lattice_angstrom": [[5.9657, 0.0000, 0.0000], [0.0000, 4.9676, -2.8681], [0.0000, 0.0000, 5.7361]],
  "species": ["Hf", "As", "As", "O", "O", "O", "O", "O", "O"],
  "frac_coords": [[0.0000, 0.0000, 0.0000], [0.7061, 0.3333, 0.6667], [0.2939, 0.6667, 0.3333], [0.8032, 0.6599, 0.8299], [0.8032, 0.1701, 0.3401], [0.1968, 0.8299, 0.1701], [0.8032, 0.1701, 0.8299], [0.1968, 0.8299, 0.6599], [0.1968, 0.3401, 0.1701]]
}



{
  "formula": "HfAsPO2",
  "functional": "PBE",
  "state": "relaxed",
  "formation_energy_uncorrected_ev_per_atom": -0.551,
  "volume_a3_per_fu": 72.0,
  "final_energy_ev_per_atom": -6.54,
  "polymorph_energy_mev_per_atom": 687,
  "mass_density_g_cm3": 7.3,
  "lattice_angstrom": [[3.8616, 0.0000, 0.0000], [0.0000, 3.8616, 0.0000], [0.0000, 0.0000, 4.8284]],
  "species": ["P", "As", "Hf", "O", "O"],
  "frac_coords": [[0.0000, 0.0000, 0.5000], [0.0000, 0.0000, 0.0000], [0.5000, 0.5000, 0.5000], [0.0000, 0.5000, 0.0000], [0.5000, 0.0000, 0.0000]]
}



{
  "formula": "HfAsPO2",
  "functional": "PBE",
  "state": "relaxed",
  "formation_energy_uncorrected_ev_per_atom": -1.238,
  "volume_a3_per_fu": 88.4,
  "final_energy_ev_per_atom": -7.22,
  "polymorph_energy_mev_per_atom": 0,
  "mass_density_g_cm3": 5.9,
  "lattice_angstrom": [[3.9595, 0.0000, 0.0000], [0.0000, 3.9595, 0.0000], [0.0000, 0.0000, 5.6392]],
  "species": ["P", "As", "Hf", "O", "O"],
  "frac_coords": [[0.0000, 0.0000, 0.5000], [0.5000, 0.5000, 0.5000], [0.0000, 0.0000, 0.0000], [0.0000, 0.5000, 0.0000], [0.5000, 0.0000, 0.0000]]
}



{
  "formula": "HfAsPbO2",
  "functional": "PBE",
  "state": "relaxed",
  "formation_energy_uncorrected_ev_per_atom": -0.069,
  "volume_a3_per_fu": 96.3,
  "final_energy_ev_per_atom": -5.71,
  "mass_density_g_cm3": 8.5,
  "lattice_angstrom": [[4.1469, 0.0000, 0.0000], [0.0000, 5.5973, 0.0000], [0.0000, 0.0000, 4.1469]],
  "species": ["Pb", "As", "Hf", "O", "O"],
  "frac_coords": [[0.0000, 0.0000, 0.0000], [0.0000, 0.5000, 0.0000], [0.5000, 0.5000, 0.5000], [0.0000, 0.0000, 0.5000], [0.5000, 0.0000, 0.0000]]
}



{
  "formula": "HfAsPbO5",
  "functional": "PBE",
  "state": "relaxed",
  "formation_energy_uncorrected_ev_per_atom": -1.957,
  "volume_a3_per_fu": 123.2,
  "final_energy_ev_per_atom": -7.34,
  "mass_density_g_cm3": 7.3,
  "lattice_angstrom": [[-0.5101, 1.0978, 5.8824], [-2.1928, -5.5562, -0.6228], [7.7971, -0.4053, -1.6023]],
  "species": ["Hf", "Hf", "As", "As", "Pb", "Pb", "O", "O", "O", "O", "O", "O", "O", "O", "O", "O"],
  "frac_coords": [[0.0000, 0.0000, 0.5000], [0.0000, 0.0000, 0.0000], [0.6903, 0.3097, 0.2500], [0.3097, 0.6903, 0.7500], [0.3071, 0.6929, 0.2500], [0.6929, 0.3071, 0.7500], [0.0525, 0.9475, 0.2500], [0.9475, 0.0525, 0.7500], [0.8845, 0.3096, 0.0919], [0.1155, 0.6904, 0.9081], [0.6904, 0.1155, 0.4081], [0.3096, 0.8845, 0.5919], [0.7647, 0.6259, 0.3946], [0.2353, 0.3741, 0.6054], [0.3741, 0.2353, 0.1054], [0.6259, 0.7647, 0.8946]]
}



{
  "formula": "HfAs2PdO",
  "functional": "PBE",
  "state": "relaxed",
  "formation_energy_uncorrected_ev_per_atom": 0.790,
  "volume_a3_per_fu": 112.4,
  "final_energy_ev_per_atom": -5.09,
  "mass_density_g_cm3": 6.7,
  "lattice_angstrom": [[-0.8399, -2.1990, 3.9490], [-3.0912, -3.4693, -2.5893], [3.6459, -2.7037, -0.7301]],
  "species": ["As", "As", "Hf", "O", "Pd"],
  "frac_coords": [[0.0000, 0.0000, 0.5000], [0.5000, 0.0000, 0.0000], [0.0000, 0.5000, 0.0000], [0.5000, 0.5000, 0.5000], [0.0000, 0.0000, 0.0000]]
}



{
  "formula": "PuHfAs2O",
  "functional": "PBE",
  "state": "relaxed",
  "formation_energy_uncorrected_ev_per_atom": -1.506,
  "volume_a3_per_fu": 97.2,
  "final_energy_ev_per_atom": -9.21,
  "mass_density_g_cm3": 10.1,
  "lattice_angstrom": [[-2.4766, -2.4332, -1.5643], [1.6897, 0.4546, -3.3822], [8.2626, -10.1841, 2.7593]],
  "species": ["Pu", "Pu", "Hf", "Hf", "As", "As", "As", "As", "O", "O"],
  "frac_coords": [[0.5000, 0.0000, 0.5944], [0.0000, 0.5000, 0.4056], [0.5000, 0.0000, 0.0938], [0.0000, 0.5000, 0.9062], [0.0000, 0.5000, 0.7067], [0.0000, 0.5000, 0.1149], [0.5000, 0.0000, 0.8851], [0.5000, 0.0000, 0.2933], [0.0000, 0.0000, 0.5000], [0.5000, 0.5000, 0.5000]]
}



{
  "formula": "Rb2HfAs2O6",
  "functional": "PBE",
  "state": "relaxed",
  "formation_energy_uncorrected_ev_per_atom": -2.034,
  "volume_a3_per_fu": 217.2,
  "final_energy_ev_per_atom": -6.66,
  "mass_density_g_cm3": 4.6,
  "lattice_angstrom": [[5.8161, 0.0000, 0.0000], [-2.9081, 4.9902, 0.6849], [0.0000, -1.6982, 7.2490]],
  "species": ["Rb", "Rb", "Hf", "As", "As", "O", "O", "O", "O", "O", "O"],
  "frac_coords": [[0.8179, 0.6357, 0.2779], [0.1821, 0.3643, 0.7221], [0.5000, 0.0000, 0.5000], [0.8516, 0.7033, 0.7637], [0.1484, 0.2967, 0.2363], [0.6845, 0.3691, 0.6545], [0.3151, 0.1513, 0.3441], [0.1638, 0.8487, 0.6559], [0.6849, 0.8487, 0.6559], [0.8362, 0.1513, 0.3441], [0.3155, 0.6309, 0.3455]]
}